Compound: Li2LaCl
Source: Alexandria
Functional: PBE-GGA
Structure: relaxed

Cell lengths 6.5728, 6.5728, 6.5728 Å; angles 101.40, 101.40, 127.21 degrees
Closest atoms and distances in Å follow each position.
Element x y z (fractional)
1 Li 0.0496 0.6250 0.9246  2 Cl 2.64
2 Li 0.3750 0.2996 0.4246  2 Cl 2.64
3 Li 0.7004 0.1250 0.0754  2 Cl 2.64
4 Li 0.8750 0.9504 0.5754  2 Cl 2.64
5 La 0.2500 0.7500 0.5000  2 Cl 2.92
6 La 0.5000 0.5000 0.0000  2 Cl 2.92
7 Cl 0.0000 0.0000 0.0000  4 Li 2.64, 2 La 2.92
8 Cl 0.7500 0.2500 0.5000  4 Li 2.64, 2 La 2.92

Total magnetization (μB per cell): 0.0
Energy above the lowest structure with this stoichiometry (meV/atom): 217
Fermi-level density of states (states/eV per cell): 4.48
Final energy (eV for the cell shown): -25.23
Raw formation energy (eV per atom): -0.503

Compound: CuHRu3
Source: Alexandria
Functional: PBE-GGA
Structure: relaxed

Cell lengths 3.8629, 3.8629, 3.8629 Å; angles 90.00, 90.00, 90.00 degrees
Closest atoms and distances in Å follow each position.
Element x y z (fractional)
1 Cu 0.0000 0.0000 0.0000  12 Ru 2.73
2 H 0.5000 0.5000 0.5000  6 Ru 1.93
3 Ru 0.0000 0.5000 0.5000  2 H 1.93
4 Ru 0.5000 0.0000 0.5000  2 H 1.93
5 Ru 0.5000 0.5000 0.0000  2 H 1.93

Total magnetization (μB per cell): 1.4
Energy above the lowest structure with this stoichiometry (meV/atom): 0
Fermi-level density of states (states/eV per cell): 5.10
Final energy (eV for the cell shown): -33.65